Record 1
MnSbP | the Alexandria database | SCAN | PBEsol geometry; uncorrected formation energy = 0.023 eV per atom; space-group type = P4/nmm (129)
1.0
-2.1237 2.1466 1.9996
-2.9204 -1.3130 -1.6923
-0.5331 -4.9926 4.7936
Mn P Sb
2 2 2
direct
0.5000 0.0000 0.8001 Mn
0.0000 0.5000 0.1999 Mn
0.0000 0.0000 0.0000 P
0.5000 0.5000 0.0000 P
0.5000 0.0000 0.3705 Sb
0.0000 0.5000 0.6295 Sb

***

Record 2
BaC2O4 | the Alexandria database | SCAN | PBEsol geometry; uncorrected formation energy = -1.962 eV per atom; space-group type = P-1 (2)
1.0
5.0402 0.0278 -0.0510
0.7585 9.0298 0.1391
1.8410 0.2678 8.8506
Ba C O
4 8 16
direct
0.9902 0.4304 0.7460 Ba
0.0098 0.5696 0.2540 Ba
0.0099 0.0696 0.2541 Ba
0.9901 0.9304 0.7459 Ba
0.5013 0.6827 0.5594 C
0.4987 0.3173 0.4406 C
0.4988 0.8172 0.4407 C
0.5012 0.1828 0.5593 C
0.6051 0.6853 0.0140 C
0.3949 0.3147 0.9860 C
0.3946 0.8148 0.9858 C
0.6054 0.1852 0.0142 C
0.2885 0.6717 0.6576 O
0.7115 0.3283 0.3424 O
0.7166 0.5973 0.5464 O
0.2834 0.4027 0.4536 O
0.2834 0.9026 0.4537 O
0.7166 0.0974 0.5463 O
0.7117 0.8283 0.3426 O
0.2883 0.1717 0.6574 O
0.8258 0.6733 0.9194 O
0.1742 0.3267 0.0806 O
0.5438 0.6020 0.1308 O
0.4562 0.3980 0.8692 O
0.1739 0.8267 0.0804 O
0.8261 0.1733 0.9196 O
0.4560 0.8982 0.8692 O
0.5440 0.1018 0.1308 O

***

Record 3
Tc5Rh | the Alexandria database | SCAN | PBEsol geometry; DFT formation energy = -0.08 eV per atom; space-group type = Amm2 (38); polymorph energy (0 for the lowest one) = 0.082 eV/f.u.
1.0
-1.8486 1.9256 -0.4683
-0.8388 0.2229 4.2274
5.9221 4.0126 0.9634
Rh Tc
1 5
direct
0.0014 0.0000 0.0027 Rh
0.2232 0.5000 0.4463 Tc
0.3326 0.0000 0.6653 Tc
0.5558 0.5000 0.1116 Tc
0.6652 0.0000 0.3304 Tc
0.8885 0.5000 0.7770 Tc

***

Record 4
LaSCl2O | the Alexandria database | SCAN | PBEsol geometry; uncorrected formation energy = -0.859 eV per atom; space-group type = P4/mmm (123)
1.0
5.4394 0.0000 0.0000
0.0000 5.4394 0.0000
0.0000 0.0000 5.7526
S Cl O La
1 2 1 1
direct
0.0000 0.0000 0.5000 S
0.0000 0.5000 0.0000 Cl
0.5000 0.0000 0.0000 Cl
0.5000 0.5000 0.5000 O
0.0000 0.0000 0.0000 La

***

Record 5
Rb2MnP4O12 | the Alexandria database | SCAN | PBEsol geometry; uncorrected formation energy = -2.467 eV per atom; space-group type = P2_1/c (14)
1.0
-3.8328 -4.0986 -5.4618
7.4695 -7.5472 3.8541
-8.5851 -3.9185 8.9650
Rb Mn P O
8 4 16 48
direct
0.9046 0.3387 0.8619 Rb
0.5777 0.6375 0.8820 Rb
0.4223 0.3625 0.1180 Rb
0.0777 0.1375 0.6180 Rb
0.5954 0.1613 0.3619 Rb
0.9223 0.8625 0.3820 Rb
0.0954 0.6613 0.1381 Rb
0.4046 0.8387 0.6381 Rb
0.7600 0.5165 0.3498 Mn
0.2600 0.0165 0.1502 Mn
0.7400 0.9835 0.8498 Mn
0.2400 0.4835 0.6502 Mn
0.9122 0.3398 0.1689 P
0.6659 0.5875 0.5891 P
0.1812 0.6283 0.4328 P
0.9130 0.7989 0.6850 P
0.3188 0.8717 0.9328 P
0.8341 0.9125 0.0891 P
0.0870 0.2011 0.3150 P
0.8188 0.3717 0.5672 P
0.6812 0.1283 0.0672 P
0.4130 0.2989 0.8150 P
0.3341 0.4125 0.4109 P
0.5878 0.1602 0.6689 P
0.0878 0.6602 0.8311 P
0.1659 0.0875 0.9109 P
0.5870 0.7011 0.1850 P
0.4122 0.8398 0.3311 P
0.2889 0.9090 0.2820 O
0.3158 0.3849 0.5235 O
0.0707 0.7685 0.7535 O
0.8083 0.2610 0.0749 O
0.3317 0.1628 0.8509 O
0.3083 0.7610 0.4251 O
0.1842 0.1151 0.0235 O
0.2111 0.5910 0.7820 O
0.6917 0.2390 0.5749 O
0.5028 0.6009 0.6447 O
0.4972 0.3991 0.3553 O
0.1917 0.7390 0.9251 O
0.9699 0.3753 0.6393 O
0.3064 0.5460 0.3862 O
0.3472 0.8948 0.0453 O
0.8472 0.3948 0.4547 O
0.6842 0.6151 0.4765 O
0.2197 0.1595 0.2481 O
0.6683 0.8372 0.1491 O
0.5707 0.2685 0.7465 O
0.5043 0.6234 0.0985 O
0.7803 0.8405 0.7519 O
0.5818 0.9070 0.3730 O
0.5301 0.1247 0.1393 O
0.0043 0.1234 0.4015 O
0.4293 0.7315 0.2535 O
0.7889 0.4090 0.2180 O
0.9957 0.8766 0.5985 O
0.4957 0.3766 0.9015 O
0.0301 0.6247 0.3607 O
0.0028 0.1009 0.8553 O
0.4182 0.0930 0.6270 O
0.4699 0.8753 0.8607 O
0.2803 0.3405 0.7481 O
0.7197 0.6595 0.2519 O
0.1528 0.6052 0.5453 O
0.8158 0.8849 0.9765 O
0.9293 0.2315 0.2465 O
0.9972 0.8991 0.1447 O
0.8317 0.6628 0.6491 O
0.1683 0.3372 0.3509 O
0.9182 0.5930 0.8730 O
0.7111 0.0910 0.7180 O
0.6528 0.1052 0.9547 O
0.0818 0.4070 0.1270 O
0.1936 0.9540 0.8862 O
0.6936 0.4540 0.6138 O
0.8064 0.0460 0.1138 O

***

Record 6
Ta5Mo | the Alexandria database | SCAN | PBEsol geometry; DFT formation energy = -0.07 eV per atom; space-group type = Cmmm (65); polymorph energy (0 for the lowest one) = 0.046 eV/f.u.
1.0
3.2388 0.0000 0.0000
0.0000 4.6043 0.0000
0.0000 -2.3022 6.9150
Mo Ta
1 5
direct
0.0000 0.0000 0.0000 Mo
0.5000 0.8394 0.6789 Ta
0.0000 0.6701 0.3403 Ta
0.5000 0.5000 0.0000 Ta
0.0000 0.3299 0.6597 Ta
0.5000 0.1606 0.3211 Ta